[1]
DFT (SCAN) results for Ca5Tl at its PBEsol-relaxed geometry.

Geometry as POSCAR:
```
Ca5Tl
1.0
2.246 -8.303 0.000
2.246 8.303 0.000
0.000 0.000 5.552
Ca Tl
5 1
direct
0.000 0.000 0.000
0.149 0.851 0.500
0.334 0.666 0.000
0.666 0.334 0.000
0.851 0.149 0.500
0.500 0.500 0.500
```

Results
Energy of formation from the pure elements = -0.17 eV per atom
Space-group type = Cmmm (65)
DOS(E_F) = 0.926 states/eV per atom
Excess energy over the best structure of this formula in the dataset = 33.2 meV per atom
Volume = 207 Å³/cell
Crystal system = orthorhombic
Total magnetization = 0.3 μB/f.u.
Final energy = -20.286 eV/atom

=====

[2]
DFT (SCAN) results for Y2Mg at its PBEsol-relaxed geometry.

Geometry as POSCAR:
```
Y2Mg
1.0
0.000 3.663 3.663
3.663 0.000 3.663
3.663 3.663 0.000
Y Mg
2 1
direct
0.250 0.250 0.250
0.750 0.750 0.750
0.000 0.000 0.000
```

Results
Energy of formation from the pure elements = 0.42 eV per atom
Space-group type = Fm-3m (225)
DOS(E_F) = 1.541 states/eV per atom
Volume = 98 Å³/cell
Crystal system = cubic
Total magnetization = 0.8 μB/f.u.
Final energy = -19.796 eV/atom

=====

[3]
DFT (SCAN) results for Ba2LuCu3O7 at its PBEsol-relaxed geometry.

Geometry as POSCAR:
```
Ba2LuCu3O7
1.0
3.769 0.000 0.000
0.000 3.844 0.000
0.000 0.000 11.477
Ba Lu Cu O
2 1 3 7
direct
0.000 0.000 0.183
0.000 0.000 0.817
0.000 0.000 0.500
0.500 0.500 0.000
0.500 0.500 0.356
0.500 0.500 0.644
0.000 0.500 0.383
0.000 0.500 0.617
0.500 0.000 0.000
0.500 0.000 0.382
0.500 0.000 0.618
0.500 0.500 0.162
0.500 0.500 0.838
```

Results
Space-group type = Pmmm (47)
DOS(E_F) = 0.216 states/eV per atom
Volume = 166 Å³/cell
Crystal system = orthorhombic
Total magnetization = 0.0 μB/f.u.
Formation energy without anion corrections = -2072 meV/atom
Final energy = -19.276 eV/atom

=====

[4]
DFT (SCAN) results for Li4Fe3Ni3Sn2O16 at its PBEsol-relaxed geometry.

Geometry as POSCAR:
```
Li4Fe3Ni3Sn2O16
1.0
5.014 -2.836 0.000
5.014 2.836 0.000
-0.078 0.000 9.457
Li Fe Ni Sn O
4 3 3 2 16
direct
0.000 0.000 0.000
0.003 0.003 0.498
0.333 0.333 0.400
0.662 0.662 0.896
0.169 0.169 0.721
0.347 0.825 0.219
0.825 0.347 0.219
0.169 0.662 0.720
0.662 0.169 0.720
0.834 0.834 0.220
0.332 0.332 0.997
0.671 0.671 0.499
0.006 0.006 0.811
0.011 0.011 0.309
0.028 0.479 0.837
0.157 0.157 0.111
0.163 0.686 0.109
0.318 0.849 0.609
0.326 0.326 0.618
0.479 0.028 0.837
0.481 0.481 0.838
0.514 0.967 0.333
0.516 0.516 0.340
0.664 0.664 0.112
0.686 0.163 0.109
0.848 0.848 0.605
0.849 0.318 0.609
0.967 0.514 0.333
```

Results
Space-group type = Cm (8)
DOS(E_F) = 0.251 states/eV per atom
Volume = 269 Å³/cell
Crystal system = monoclinic
Total magnetization = 2.3 μB/f.u.
Formation energy without anion corrections = -1685 meV/atom
Final energy = -11.829 eV/atom

=====

[5]
DFT (SCAN) results for ZrTi2Rh at its PBEsol-relaxed geometry.

Geometry as POSCAR:
```
ZrTi2Rh
1.0
0.000 3.174 3.174
3.174 0.000 3.174
3.174 3.174 0.000
Zr Ti Rh
1 2 1
direct
0.000 0.000 0.000
0.250 0.250 0.250
0.750 0.750 0.750
0.500 0.500 0.500
```

Results
Energy of formation from the pure elements = -0.34 eV per atom
Space-group type = Fm-3m (225)
DOS(E_F) = 1.278 states/eV per atom
Volume = 64 Å³/cell
Crystal system = cubic
Total magnetization = 0.0 μB/f.u.
Final energy = -24.473 eV/atom

=====

[6]
DFT (SCAN) results for Ba3Bi2TeO9 at its PBEsol-relaxed geometry.

Geometry as POSCAR:
```
Ba3Bi2TeO9
1.0
6.198 0.000 0.000
-3.099 5.368 0.000
0.000 0.000 14.760
Ba Bi Te O
6 4 2 18
direct
0.000 0.000 0.250
0.000 0.000 0.750
0.333 0.667 0.084
0.333 0.667 0.584
0.667 0.333 0.416
0.667 0.333 0.916
0.333 0.667 0.334
0.333 0.667 0.834
0.667 0.333 0.166
0.667 0.333 0.666
0.000 0.000 0.000
0.000 0.000 0.500
0.000 0.443 0.250
0.000 0.557 0.750
0.079 0.289 0.924
0.079 0.790 0.424
0.210 0.289 0.424
0.210 0.921 0.924
0.289 0.079 0.576
0.289 0.210 0.076
0.443 0.000 0.250
0.443 0.443 0.750
0.557 0.000 0.750
0.557 0.557 0.250
0.711 0.790 0.924
0.711 0.921 0.424
0.790 0.079 0.076
0.790 0.711 0.576
0.921 0.210 0.576
0.921 0.711 0.076
```

Results
Space-group type = P-3c1 (165)
DOS(E_F) = 0.000 states/eV per atom
Volume = 491 Å³/cell
Crystal system = trigonal
Total magnetization = 0.0 μB/f.u.
Formation energy without anion corrections = -2054 meV/atom
Final energy = -26.664 eV/atom

=====

[7]
DFT (SCAN) results for TaTlHg2 at its PBEsol-relaxed geometry.

Geometry as POSCAR:
```
TaTlHg2
1.0
-1.536 2.610 5.270
1.536 -2.610 5.270
1.536 2.610 -5.270
Ta Tl Hg
1 1 2
direct
0.000 0.000 0.000
0.243 0.743 0.500
0.512 0.512 0.000
0.770 0.270 0.500
```

Results
Energy of formation from the pure elements = 0.51 eV per atom
Space-group type = Imm2 (44)
DOS(E_F) = 0.615 states/eV per atom
Volume = 84 Å³/cell
Crystal system = orthorhombic
Total magnetization = 0.0 μB/f.u.
Final energy = -68.307 eV/atom

=====

[8]
DFT (SCAN) results for Al2VNi9 at its PBEsol-relaxed geometry.

Geometry as POSCAR:
```
Al2VNi9
1.0
3.513 0.000 0.000
0.000 3.513 0.000
0.000 0.000 10.493
Al V Ni
2 1 9
direct
0.000 0.000 0.165
0.000 0.000 0.835
0.000 0.000 0.500
0.000 0.500 0.000
0.000 0.500 0.337
0.000 0.500 0.663
0.500 0.000 0.000
0.500 0.000 0.337
0.500 0.000 0.663
0.500 0.500 0.168
0.500 0.500 0.500
0.500 0.500 0.832
```

Results
Energy of formation from the pure elements = -0.42 eV per atom
Space-group type = P4/mmm (123)
DOS(E_F) = 0.512 states/eV per atom
Volume = 129 Å³/cell
Crystal system = tetragonal
Total magnetization = 0.9 μB/f.u.
Final energy = -15.302 eV/atom

=====

[9]
DFT (SCAN) results for ZrMn2Tc at its PBEsol-relaxed geometry.

Geometry as POSCAR:
```
ZrMn2Tc
1.0
4.629 -1.454 0.000
4.629 1.454 0.000
-1.698 0.000 4.120
Zr Mn Tc
1 2 1
direct
0.000 0.000 0.000
0.229 0.229 0.685
0.516 0.516 0.529
0.780 0.780 0.279
```

Results
Energy of formation from the pure elements = 0.06 eV per atom
Space-group type = Cm (8)
DOS(E_F) = 0.935 states/eV per atom
Excess energy over the best structure of this formula in the dataset = 9.7 meV per atom
Volume = 55 Å³/cell
Crystal system = monoclinic
Total magnetization = 2.0 μB/f.u.
Final energy = -25.504 eV/atom

=====

[10]
DFT (SCAN) results for NbFeTcOs2 at its PBEsol-relaxed geometry.

Geometry as POSCAR:
```
NbFeTcOs2
1.0
4.675 0.000 0.000
0.000 4.675 0.000
0.000 0.000 4.589
Nb Fe Tc Os
1 1 1 2
direct
0.000 0.000 0.000
0.500 0.500 0.500
0.000 0.000 0.500
0.000 0.500 0.000
0.500 0.000 0.000
```

Results
Energy of formation from the pure elements = 2.33 eV per atom
Space-group type = P4/mmm (123)
DOS(E_F) = 0.860 states/eV per atom
Volume = 100 Å³/cell
Crystal system = tetragonal
Total magnetization = 5.1 μB/f.u.
Final energy = -43.687 eV/atom

=====

[11]
DFT (SCAN) results for RhSe2Br at its PBEsol-relaxed geometry.

Geometry as POSCAR:
```
RhSe2Br
1.0
2.640 -4.482 0.000
2.640 4.482 0.000
0.000 0.000 3.104
Rh Se Br
1 2 1
direct
0.000 0.000 0.000
0.000 0.500 0.500
0.500 0.000 0.500
0.500 0.500 0.000
```

Results
Space-group type = Cmmm (65)
DOS(E_F) = 0.772 states/eV per atom
Excess energy over the best structure of this formula in the dataset = 1133.0 meV per atom
Volume = 73 Å³/cell
Crystal system = orthorhombic
Total magnetization = 0.0 μB/f.u.
Formation energy without anion corrections = 756 meV/atom
Final energy = -22.591 eV/atom

=====

[12]
DFT (SCAN) results for KReSi2 at its PBEsol-relaxed geometry.

Geometry as POSCAR:
```
KReSi2
1.0
3.087 0.000 0.000
0.000 3.087 0.000
0.000 0.000 7.751
K Re Si
1 1 2
direct
0.000 0.000 0.000
0.000 0.000 0.500
0.500 0.500 0.329
0.500 0.500 0.671
```

Results
Space-group type = P4/mmm (123)
DOS(E_F) = 0.395 states/eV per atom
Excess energy over the best structure of this formula in the dataset = 0.0 meV per atom
Volume = 74 Å³/cell
Crystal system = tetragonal
Total magnetization = 0.0 μB/f.u.
Formation energy without anion corrections = 60 meV/atom
Final energy = -24.805 eV/atom